VASP calculation (meta-GGA SCAN) on LaSc2Te at its PBEsol-relaxed geometry.

Values from the calculation:
The value obtained for the total energy is -27.651 eV per atom. For the energy relative to the elements, uncorrected, the calculation gives -0.443 eV/atom. As for the density of states at the Fermi level: 1.14 states/eV/atom.

a b c (Å): 3.6653 3.6653 28.0215
angles (deg): 90.00 90.00 120.00
Space group R-3m (No. 166, hexagonal axes)
One atom of each set of equivalent atoms:
La 0.0000 0.0000 0.0000 (multiplicity 3)
Sc 0.0000 0.0000 0.2364 (multiplicity 6)
Te 0.0000 0.0000 0.5000 (multiplicity 3)